Below is a PBEsol-optimized structure of AgPN3, with properties calculated at the SCAN level.

Unit cell a=3.9753 b=3.9753 c=3.9753 alpha=90.00 beta=90.00 gamma=90.00
Element x y z (fractional)
N 0.0000 0.5000 0.0000
N 0.0000 0.0000 0.5000
N 0.5000 0.0000 0.0000
Ag 0.0000 0.0000 0.0000
P 0.5000 0.5000 0.5000

Values from the calculation:
Uncorrected formation energy ... 2.693 eV per atom
Symmetry ... Pm-3m (221)
Magnetization ... 0.518 μB/atom
Fermi-level density of states ... 2.8 states/eV/f.u.